Density functional theory data (PBE) for an optimized crystal structure of FeTeIN2.

Geometry as CIF:
```
data_FeTeIN2
_cell_length_a 3.9411
_cell_length_b 3.9411
_cell_length_c 7.4713
_cell_angle_alpha 90.00
_cell_angle_beta 90.00
_cell_angle_gamma 90.00
_space_group_name_H-M_alt 'P 4/m m m'
_space_group_IT_number 123
_space_group_name_Hall '-P 4 2'
loop_
_atom_site_label
_atom_site_fract_x
_atom_site_fract_y
_atom_site_fract_z
_atom_site_occupancy
Fe1 0.0000 0.0000 0.0000 1
Te1 0.5000 0.5000 0.0000 1
I1 0.5000 0.5000 0.5000 1
N1 0.0000 0.5000 0.5000 1
```

Calculated values
spin magnetization: 3.6 Bohr magnetons per cell
energy above the lowest structure with this stoichiometry: 645 meV/atom
formation energy without anion corrections: 1942 meV/atom

***

Density functional theory data (PBE) for an optimized crystal structure of Mg3Tc2.

Geometry as CIF:
```
data_Mg3Tc2
_cell_length_a 3.0933
_cell_length_b 4.7447
_cell_length_c 24.1682
_cell_angle_alpha 90.00
_cell_angle_beta 90.00
_cell_angle_gamma 90.00
_space_group_name_H-M_alt 'F m m m'
_space_group_IT_number 69
_space_group_name_Hall '-F 2 2'
loop_
_atom_site_label
_atom_site_fract_x
_atom_site_fract_y
_atom_site_fract_z
_atom_site_occupancy
Mg1 0.0000 0.0000 0.0000 1
Mg2 0.0000 0.0000 0.3876 1
Tc1 0.0000 0.0000 0.2079 1
```

Calculated values
ΔH_f (0 K): 0.1962 eV/atom
spin magnetization: 0.0 Bohr magnetons per cell
energy above the lowest structure with this stoichiometry: 199 meV/atom

***

Density functional theory data (PBE) for an optimized crystal structure of LaInPdPt.

Geometry as CIF:
```
data_LaInPdPt
_cell_length_a 4.6933
_cell_length_b 4.6933
_cell_length_c 14.1533
_cell_angle_alpha 90.00
_cell_angle_beta 90.00
_cell_angle_gamma 120.00
_space_group_name_H-M_alt 'R 3 m'
_space_group_IT_number 160
_space_group_name_Hall 'R 3 -2"'
loop_
_atom_site_label
_atom_site_fract_x
_atom_site_fract_y
_atom_site_fract_z
_atom_site_occupancy
La1 0.0000 0.0000 0.0000 1
In1 0.0000 0.0000 0.5032 1
Pd1 0.0000 0.0000 0.7851 1
Pt1 0.0000 0.0000 0.2156 1
```

Calculated values
ΔH_f (0 K): -0.8601 eV/atom
spin magnetization: 0.0 Bohr magnetons per cell

***

Density functional theory data (PBE) for an optimized crystal structure of HoPaZnO6.

Geometry as CIF:
```
data_HoPaZnO6
_cell_length_a 5.3951
_cell_length_b 5.3951
_cell_length_c 4.8770
_cell_angle_alpha 90.00
_cell_angle_beta 90.00
_cell_angle_gamma 120.00
_space_group_name_H-M_alt 'P 3 1 2'
_space_group_IT_number 149
loop_
_space_group_symop_operation_xyz
'x,y,z'
'-y,x-y,z'
'-x+y,-x,z'
'-y,-x,-z'
'-x+y,y,-z'
'x,x-y,-z'
loop_
_atom_site_label
_atom_site_fract_x
_atom_site_fract_y
_atom_site_fract_z
_atom_site_occupancy
Ho1 0.0000 0.0000 0.0000 1
Pa1 0.3333 0.6667 0.5000 1
Zn1 0.6667 0.3333 0.0000 1
O1 0.3559 0.0016 0.7585 1
```

Calculated values
spin magnetization: 0.0 Bohr magnetons per cell
formation energy without anion corrections: -2429 meV/atom

***

Density functional theory data (PBE) for an optimized crystal structure of CaRhCl.

Geometry as CIF:
```
data_CaRhCl
_cell_length_a 6.9115
_cell_length_b 4.3407
_cell_length_c 10.6012
_cell_angle_alpha 90.00
_cell_angle_beta 102.37
_cell_angle_gamma 90.00
_space_group_name_H-M_alt 'C 1 2/m 1'
_space_group_IT_number 12
loop_
_space_group_symop_operation_xyz
'x,y,z'
'-x,-y,-z'
'-x,y,-z'
'x,-y,z'
'x+1/2,y+1/2,z'
'-x+1/2,-y+1/2,-z'
'-x+1/2,y+1/2,-z'
'x+1/2,-y+1/2,z'
loop_
_atom_site_label
_atom_site_fract_x
_atom_site_fract_y
_atom_site_fract_z
_atom_site_occupancy
Ca1 0.0676 0.0000 0.2142 1
Rh1 0.1780 0.5000 0.9971 1
Cl1 0.2351 0.0000 0.6519 1
```

Calculated values
spin magnetization: 0.0 Bohr magnetons per cell
energy above the lowest structure with this stoichiometry: 0 meV/atom
formation energy without anion corrections: -1176 meV/atom

***

Density functional theory data (PBE) for an optimized crystal structure of AlSiI2.

Geometry as CIF:
```
data_AlSiI2
_cell_length_a 7.5895
_cell_length_b 7.5895
_cell_length_c 7.5895
_cell_angle_alpha 90.00
_cell_angle_beta 90.00
_cell_angle_gamma 90.00
_space_group_name_H-M_alt 'F m -3 m'
_space_group_IT_number 225
_space_group_name_Hall '-F 4 2 3'
loop_
_atom_site_label
_atom_site_fract_x
_atom_site_fract_y
_atom_site_fract_z
_atom_site_occupancy
Al1 0.0000 0.0000 0.0000 1
Si1 0.0000 0.0000 0.5000 1
I1 0.2500 0.2500 0.2500 1
```

Calculated values
spin magnetization: 0.0 Bohr magnetons per cell
energy above the lowest structure with this stoichiometry: 0 meV/atom
formation energy without anion corrections: 514 meV/atom

***

- Look up the spin magnetization of the sixth one.
  0.0 Bohr magnetons per cell

***

- What is the spin magnetization in the first record?
  3.6 Bohr magnetons per cell

***

- spin magnetization of number 1 (FeTeIN2)?
  3.6 Bohr magnetons per cell